The following is a DFT calculation (GGA-PBE) of BaLaAgS3 after structural relaxation.

Results
The final energy comes out at -5.3178 eV per atom.

abc: 8.047 4.246 9.945
angles: 90.00 105.19 90.00
Space group P2_1/m (No. 11)
One atom of each set of equivalent atoms:
Ba1 0.242 0.250 0.206 x2
La1 0.203 0.750 0.650 x2
Ag1 0.411 0.250 0.908 x2
S1 0.050 0.750 0.354 x2
S2 0.237 0.750 0.953 x2
S3 0.449 0.250 0.661 x2



The following is a DFT calculation (GGA-PBE) of PaHg after structural relaxation.

Results
The calculation puts the energy of formation at 1328 meV/atom. Its energy above the most stable polymorph in this dataset is 1.295 eV per atom.

abc: 6.722 6.722 6.722
angles: 90.00 90.00 90.00
Space group F-43m (No. 216)
One atom of each set of equivalent atoms:
Pa1 0.000 0.000 0.000 x4
Hg1 0.250 0.250 0.250 x4



The following is a DFT calculation (GGA-PBE) of RbHoNb after structural relaxation.

Results
Its energy above the most stable polymorph in this dataset is 0.000 eV per atom.

abc: 5.9249 5.9249 9.2852
angles: 90.00 90.00 120.00
Space group P3m1 (No. 156)
One atom of each set of equivalent atoms:
Rb1 0.0000 0.0000 0.0000 x1
Rb2 0.0000 0.0000 0.3268 x1
Rb3 0.0000 0.0000 0.6643 x1
Ho1 0.3333 0.6667 0.2623 x1
Ho2 0.3333 0.6667 0.9014 x1
Ho3 0.6667 0.3333 0.4601 x1
Nb1 0.3333 0.6667 0.5708 x1
Nb2 0.6667 0.3333 0.0438 x1
Nb3 0.6667 0.3333 0.8008 x1



The following is a DFT calculation (GGA-PBE) of ErNbGe after structural relaxation.

Results
The final energy comes out at -5.6197 eV per atom.

abc: 6.767 6.767 6.767
angles: 90.00 90.00 90.00
Space group F-43m (No. 216)
One atom of each set of equivalent atoms:
Er1 0.000 0.000 0.000 x4
Nb1 0.250 0.250 0.250 x4
Ge1 0.250 0.250 0.750 x4



The following is a DFT calculation (GGA-PBE) of DyBPb after structural relaxation.

Results
Its energy above the most stable polymorph in this dataset is 0.000 eV per atom.

abc: 6.359 6.359 6.359
angles: 90.00 90.00 90.00
Space group F-43m (No. 216)
One atom of each set of equivalent atoms:
Dy1 0.000 0.000 0.000 x4
B1 0.250 0.250 0.250 x4
Pb1 0.000 0.000 0.500 x4



The following is a DFT calculation (GGA-PBE) of CdAgNO after structural relaxation.

Results
Its energy above the most stable polymorph in this dataset is 0.163 eV per atom.

abc: 3.866 5.474 5.517
angles: 90.00 90.00 90.00
Space group Pmc2_1 (No. 26)
One atom of each set of equivalent atoms:
Cd1 0.000 0.130 0.000 x2
Ag1 0.500 0.414 0.486 x2
N1 0.500 0.241 0.159 x2
O1 0.000 0.273 0.606 x2



The following is a DFT calculation (GGA-PBE) of ScBeZnIn after structural relaxation.

Results
Its energy above the most stable polymorph in this dataset is 0.079 eV per atom.

abc: 6.506 6.506 6.506
angles: 90.00 90.00 90.00
Space group F-43m (No. 216)
One atom of each set of equivalent atoms:
Sc1 0.000 0.000 0.000 x4
Be1 0.000 0.000 0.500 x4
Zn1 0.250 0.250 0.250 x4
In1 0.250 0.250 0.750 x4



The following is a DFT calculation (GGA-PBE) of NaTmZnTe3 after structural relaxation.

Results
Its energy above the most stable polymorph in this dataset is 0.002 eV per atom.

abc: 11.519 4.285 14.641
angles: 90.00 90.00 90.00
Space group Pnma (No. 62)
One atom of each set of equivalent atoms:
Na1 0.224 0.250 0.012 x4
Tm1 0.014 0.750 0.744 x4
Zn1 0.239 0.750 0.219 x4
Te1 0.049 0.750 0.116 x4
Te2 0.080 0.250 0.607 x4
Te3 0.238 0.250 0.333 x4